# 1
Computed, not measured: a relaxed SmScAg6 crystal at the PBE level of DFT.

Unit cell a=4.4568 b=5.1322 c=8.1460 alpha=80.36 beta=74.12 gamma=64.27
Closest atoms and distances in Å follow each position.
Atoms (fractional coordinates):
Sm1 0.0000 0.5000 0.5000  12 Ag 3.05-3.20
Sc1 0.0000 0.0000 0.0000  12 Ag 2.90-3.09
Ag1 0.2454 0.8668 0.6423  1 Sc 2.90, 6 Ag 2.96-3.18, 3 Sm 3.05-3.07
Ag2 0.5068 0.2306 0.7558  8 Ag 2.92-3.18, 2 Sc 3.09, 2 Sm 3.20
Ag3 0.2533 0.3798 0.1135  8 Ag 2.92-3.11, 3 Sc 2.95-3.00, 1 Sm 3.11
Ag4 0.4932 0.7694 0.2442  8 Ag 2.92-3.18, 2 Sc 3.09, 2 Sm 3.20
Ag5 0.7546 0.1332 0.3577  1 Sc 2.90, 6 Ag 2.96-3.18, 3 Sm 3.05-3.07
Ag6 0.7467 0.6202 0.8865  8 Ag 2.92-3.11, 3 Sc 2.95-3.00, 1 Sm 3.11

- Electronic total energy: -29.56 eV for the cell shown
- Fermi-level density of states: 5.1 states/eV/f.u.
- Formation energy from the elements: -176 meV per atom
- Symmetry: C2/m (12)

# 2
Computed, not measured: a relaxed RbNaNiCl4 crystal at the PBE level of DFT.

Unit cell a=6.2382 b=7.2609 c=9.2044 alpha=90.00 beta=106.48 gamma=90.00
Closest atoms and distances in Å follow each position.
Atoms (fractional coordinates):
Rb1 0.7490 0.7500 0.9362  9 Cl 3.35-3.66
Rb2 0.2510 0.2500 0.0638  9 Cl 3.35-3.66
Na1 0.8464 0.7500 0.4888  5 Cl 2.81-2.88
Na2 0.1536 0.2500 0.5112  5 Cl 2.81-2.88
Ni1 0.2410 0.7500 0.3131  4 Cl 2.22-2.27
Ni2 0.7590 0.2500 0.6869  4 Cl 2.22-2.27
Cl1 0.0075 0.4852 0.7164  1 Ni 2.27
Cl2 0.9925 0.9852 0.2836  1 Ni 2.27
Cl3 0.9925 0.5148 0.2836  1 Ni 2.27
Cl4 0.0075 0.0148 0.7164  1 Ni 2.27
Cl5 0.3252 0.7500 0.0923  1 Ni 2.24
Cl6 0.6748 0.2500 0.9077  1 Ni 2.24
Cl7 0.4335 0.7500 0.5567  1 Ni 2.22
Cl8 0.5665 0.2500 0.4433  1 Ni 2.22

- Formation energy from raw total energies: -1.2752 eV/atom
- Electronic total energy: -48.76 eV for the cell shown
- Fermi-level density of states: 0.3 states/eV/f.u.
- Symmetry: P2_1/m (11)

# 3
Computed, not measured: a relaxed HfCd2Ag crystal at the PBE level of DFT.

Unit cell a=3.1044 b=3.1044 c=8.4178 alpha=90.00 beta=90.00 gamma=90.00
Closest atoms and distances in Å follow each position.
Atoms (fractional coordinates):
Hf1 0.5000 0.5000 0.5000  4 Hf 3.10, 8 Cd 3.10
Ag1 0.5000 0.5000 0.0000  8 Cd 2.98, 4 Ag 3.10
Cd1 0.0000 0.0000 0.7608  4 Ag 2.98, 4 Cd 3.10, 4 Hf 3.10
Cd2 0.0000 0.0000 0.2392  4 Ag 2.98, 4 Cd 3.10, 4 Hf 3.10

- Electronic total energy: -14.73 eV for the cell shown
- Fermi-level density of states: 3.3 states/eV/f.u.
- Formation energy from the elements: -23 meV per atom
- Symmetry: P4/mmm (123)

# 4
Computed, not measured: a relaxed YTm2Al crystal at the PBE level of DFT.

Unit cell a=4.7453 b=4.7103 c=4.7103 alpha=90.00 beta=90.00 gamma=90.00
Closest atoms and distances in Å follow each position.
Atoms (fractional coordinates):
Y1 0.5000 0.5000 0.5000  4 Al 3.33, 8 Tm 3.34
Tm1 0.0000 0.0000 0.5000  4 Tm 3.33, 4 Y 3.34, 4 Al 3.34
Tm2 0.0000 0.5000 0.0000  4 Tm 3.33, 4 Y 3.34, 4 Al 3.34
Al1 0.5000 0.0000 0.0000  4 Y 3.33, 8 Tm 3.34

- Electronic total energy: -19.92 eV for the cell shown
- Fermi-level density of states: 4.4 states/eV/f.u.
- Formation energy from the elements: -193 meV per atom
- Symmetry: P4/mmm (123)

# 5
Computed, not measured: a relaxed CeSmTc crystal at the PBE level of DFT.

Unit cell a=3.4837 b=3.4837 c=6.2738 alpha=106.12 beta=106.12 gamma=90.00
Closest atoms and distances in Å follow each position.
Atoms (fractional coordinates):
Ce1 0.3067 0.3067 0.6135  4 Tc 2.87
Sm1 0.0134 0.0134 0.0269  4 Tc 3.12, 5 Ce 3.38-3.43, 4 Sm 3.48
Tc1 0.6798 0.6798 0.3596  4 Ce 2.87, 4 Sm 3.12

- Electronic total energy: -20.97 eV for the cell shown
- Fermi-level density of states: 4.2 states/eV/f.u.
- Formation energy from the elements: 18 meV per atom
- Symmetry: I4mm (107)

# 6
Computed, not measured: a relaxed Tl2POs crystal at the PBE level of DFT.

Unit cell a=3.1204 b=3.1204 c=8.7610 alpha=90.00 beta=90.00 gamma=106.83
Closest atoms and distances in Å follow each position.
Atoms (fractional coordinates):
Tl1 0.0000 0.0000 0.2572  2 Os 2.83, 2 P 2.92, 4 Tl 3.12
Tl2 0.0000 0.0000 0.7428  2 Os 2.83, 2 P 2.92, 4 Tl 3.12
P1 0.5000 0.5000 0.0000  4 Tl 2.92, 4 P 3.12
Os1 0.5000 0.5000 0.5000  4 Tl 2.83, 4 Os 3.12

- Electronic total energy: -17.07 eV for the cell shown
- Fermi-level density of states: 2.8 states/eV/f.u.
- Formation energy from the elements: 1074 meV per atom
- Symmetry: Cmmm (65)

> The lowest Fermi-level density of states belongs to which entry?

RbNaNiCl4

> Which of these has the lowest Fermi-level density of states?

RbNaNiCl4

> Which formula does entry 6 have?

Tl2POs

> The lowest Fermi-level density of states belongs to which entry?

RbNaNiCl4